Entry 1:
Here is a crystal of P2OsBr relaxed with PBEsol from Alexandria. Energies are from SCAN.

- Relative energy among the computed polymorphs: 0 kJ/mol of formula units
- Magnetization: 0.000 μB per atom
- DFT total energy: -111.33 eV for the cell shown
- ΔE_f (raw): 19.5 kJ/mol of atoms
- Space-group type: P4/mmm

Structure (CIF):
```
data_P2OsBr
_chemical_formula_sum 'P2 Os1 Br1'
_cell_length_a 2.831
_cell_length_b 2.831
_cell_length_c 9.559
_cell_angle_alpha 90.00
_cell_angle_beta 90.00
_cell_angle_gamma 90.00
_symmetry_space_group_name_H-M 'P 1'
_symmetry_Int_Tables_number 1
_symmetry_space_group_name_Hall 'P 1'
loop_
_atom_site_label
_atom_site_fract_x
_atom_site_fract_y
_atom_site_fract_z
P1 0.000 0.000 0.341
P2 0.000 0.000 0.659
Os1 0.500 0.500 0.500
Br1 0.500 0.500 0.000
```

---

Entry 2:
Here is a crystal of POsBr relaxed with PBEsol from Alexandria. Energies are from SCAN.

- Relative energy among the computed polymorphs: 89 kJ/mol of formula units
- Magnetization: 0.000 μB per atom
- DFT total energy: -100.91 eV for the cell shown
- ΔE_f (raw): 26.6 kJ/mol of atoms
- Space-group type: Imm2

Structure (CIF):
```
data_POsBr
_chemical_formula_sum 'P1 Os1 Br1'
_cell_length_a 2.920
_cell_length_b 3.289
_cell_length_c 6.299
_cell_angle_alpha 105.13
_cell_angle_beta 103.40
_cell_angle_gamma 90.00
_symmetry_space_group_name_H-M 'P 1'
_symmetry_Int_Tables_number 1
_symmetry_space_group_name_Hall 'P 1'
loop_
_atom_site_label
_atom_site_fract_x
_atom_site_fract_y
_atom_site_fract_z
Br1 0.997 0.997 0.995
P1 0.216 0.216 0.433
Os1 0.786 0.786 0.573
```

---

Entry 3:
Here is a crystal of POsBr relaxed with PBEsol from Alexandria. Energies are from SCAN.

- Relative energy among the computed polymorphs: 0 kJ/mol of formula units
- Magnetization: 0.000 μB per atom
- DFT total energy: -101.83 eV for the cell shown
- ΔE_f (raw): -3.1 kJ/mol of atoms
- Space-group type: P3m1

Structure (CIF):
```
data_POsBr
_chemical_formula_sum 'P1 Os1 Br1'
_cell_length_a 3.609
_cell_length_b 3.609
_cell_length_c 5.628
_cell_angle_alpha 90.00
_cell_angle_beta 90.00
_cell_angle_gamma 120.00
_symmetry_space_group_name_H-M 'P 1'
_symmetry_Int_Tables_number 1
_symmetry_space_group_name_Hall 'P 1'
loop_
_atom_site_label
_atom_site_fract_x
_atom_site_fract_y
_atom_site_fract_z
P1 0.333 0.667 0.468
Br1 0.000 0.000 0.924
Os1 0.667 0.333 0.609
```

---

Entry 4:
Here is a crystal of P2OsBr relaxed with PBEsol from Alexandria. Energies are from SCAN.

- Relative energy among the computed polymorphs: 247 kJ/mol of formula units
- Magnetization: 0.000 μB per atom
- DFT total energy: -108.77 eV for the cell shown
- ΔE_f (raw): 81.1 kJ/mol of atoms
- Space-group type: I4/mmm

Structure (CIF):
```
data_P2OsBr
_chemical_formula_sum 'P2 Os1 Br1'
_cell_length_a 4.341
_cell_length_b 4.341
_cell_length_c 4.341
_cell_angle_alpha 107.33
_cell_angle_beta 110.55
_cell_angle_gamma 110.55
_symmetry_space_group_name_H-M 'P 1'
_symmetry_Int_Tables_number 1
_symmetry_space_group_name_Hall 'P 1'
loop_
_atom_site_label
_atom_site_fract_x
_atom_site_fract_y
_atom_site_fract_z
Br1 0.000 0.000 0.000
P1 0.500 0.000 0.500
P2 0.500 0.500 0.000
Os1 0.000 0.500 0.500
```

---

Entry 5:
Here is a crystal of Os2Pb2Br relaxed with PBEsol from Alexandria. Energies are from SCAN.

- Magnetization: 0.000 μB per atom
- DFT total energy: -311.04 eV for the cell shown
- ΔE_f (raw): 72.2 kJ/mol of atoms
- Space-group type: I4/mmm

Structure (CIF):
```
data_Os2Pb2Br
_chemical_formula_sum 'Os2 Pb2 Br1'
_cell_length_a 5.330
_cell_length_b 5.520
_cell_length_c 5.330
_cell_angle_alpha 61.13
_cell_angle_beta 90.00
_cell_angle_gamma 118.87
_symmetry_space_group_name_H-M 'P 1'
_symmetry_Int_Tables_number 1
_symmetry_space_group_name_Hall 'P 1'
loop_
_atom_site_label
_atom_site_fract_x
_atom_site_fract_y
_atom_site_fract_z
Pb1 0.750 0.500 0.750
Pb2 0.250 0.500 0.250
Os1 0.361 0.721 0.639
Os2 0.639 0.279 0.361
Br1 0.000 0.000 0.000
```

---

Entry 6:
Here is a crystal of OsPbBr2 relaxed with PBEsol from Alexandria. Energies are from SCAN.

- Relative energy among the computed polymorphs: 0 kJ/mol of formula units
- Magnetization: 0.137 μB per atom
- DFT total energy: -182.54 eV for the cell shown
- ΔE_f (raw): 97.4 kJ/mol of atoms
- Space-group type: P2/m

Structure (CIF):
```
data_OsPbBr2
_chemical_formula_sum 'Os1 Pb1 Br2'
_cell_length_a 3.277
_cell_length_b 4.875
_cell_length_c 5.769
_cell_angle_alpha 113.03
_cell_angle_beta 90.00
_cell_angle_gamma 90.00
_symmetry_space_group_name_H-M 'P 1'
_symmetry_Int_Tables_number 1
_symmetry_space_group_name_Hall 'P 1'
loop_
_atom_site_label
_atom_site_fract_x
_atom_site_fract_y
_atom_site_fract_z
Br1 0.500 0.000 0.500
Br2 0.000 0.000 0.000
Os1 0.500 0.500 0.000
Pb1 0.000 0.500 0.500
```

---

Entry 7:
Here is a crystal of OsPbBr2 relaxed with PBEsol from Alexandria. Energies are from SCAN.

- Relative energy among the computed polymorphs: 72 kJ/mol of formula units
- Magnetization: 0.000 μB per atom
- DFT total energy: -181.79 eV for the cell shown
- ΔE_f (raw): 115.5 kJ/mol of atoms
- Space-group type: P4/mmm

Structure (CIF):
```
data_OsPbBr2
_chemical_formula_sum 'Os1 Pb1 Br2'
_cell_length_a 3.416
_cell_length_b 4.916
_cell_length_c 4.916
_cell_angle_alpha 90.00
_cell_angle_beta 90.00
_cell_angle_gamma 90.00
_symmetry_space_group_name_H-M 'P 1'
_symmetry_Int_Tables_number 1
_symmetry_space_group_name_Hall 'P 1'
loop_
_atom_site_label
_atom_site_fract_x
_atom_site_fract_y
_atom_site_fract_z
Os1 0.500 0.500 0.500
Br1 0.000 0.000 0.500
Br2 0.000 0.500 0.000
Pb1 0.500 0.000 0.000
```

---

Entry 8:
Here is a crystal of Pr3OsBr3 relaxed with PBEsol from Alexandria. Energies are from SCAN.

- Magnetization: 0.000 μB per atom
- DFT total energy: -1080.08 eV for the cell shown
- ΔE_f (raw): -134.8 kJ/mol of atoms
- Space-group type: I4_132

Structure (CIF):
```
data_Pr3OsBr3
_chemical_formula_sum 'Pr12 Os4 Br12'
_cell_length_a 10.326
_cell_length_b 10.326
_cell_length_c 10.326
_cell_angle_alpha 109.47
_cell_angle_beta 109.47
_cell_angle_gamma 109.47
_symmetry_space_group_name_H-M 'P 1'
_symmetry_Int_Tables_number 1
_symmetry_space_group_name_Hall 'P 1'
loop_
_atom_site_label
_atom_site_fract_x
_atom_site_fract_y
_atom_site_fract_z
Os1 0.750 0.750 0.250
Os2 0.500 0.750 0.500
Os3 0.000 0.500 0.250
Os4 0.750 0.000 0.000
Pr1 0.986 0.250 0.014
Pr2 0.764 0.514 0.028
Pr3 0.514 0.986 0.750
Pr4 0.528 0.764 0.014
Pr5 0.972 0.986 0.236
Pr6 0.764 0.250 0.236
Pr7 0.514 0.528 0.264
Pr8 0.250 0.736 0.264
Pr9 0.736 0.764 0.750
Pr10 0.250 0.514 0.486
Pr11 0.736 0.972 0.486
Pr12 0.986 0.736 0.472
Br1 0.243 0.493 0.986
Br2 0.007 0.750 0.993
Br3 0.493 0.486 0.743
Br4 0.750 0.493 0.507
Br5 0.007 0.257 0.514
Br6 0.243 0.750 0.757
Br7 0.493 0.007 0.250
Br8 0.486 0.243 0.993
Br9 0.257 0.014 0.507
Br10 0.750 0.257 0.743
Br11 0.014 0.007 0.757
Br12 0.257 0.243 0.250
```

---

Entry 9:
Here is a crystal of OsPtBr relaxed with PBEsol from Alexandria. Energies are from SCAN.

- Relative energy among the computed polymorphs: 0 kJ/mol of formula units
- Magnetization: 0.000 μB per atom
- DFT total energy: -158.65 eV for the cell shown
- ΔE_f (raw): 92.6 kJ/mol of atoms
- Space-group type: P3m1

Structure (CIF):
```
data_OsPtBr
_chemical_formula_sum 'Os1 Pt1 Br1'
_cell_length_a 2.944
_cell_length_b 2.944
_cell_length_c 6.519
_cell_angle_alpha 90.00
_cell_angle_beta 90.00
_cell_angle_gamma 120.00
_symmetry_space_group_name_H-M 'P 1'
_symmetry_Int_Tables_number 1
_symmetry_space_group_name_Hall 'P 1'
loop_
_atom_site_label
_atom_site_fract_x
_atom_site_fract_y
_atom_site_fract_z
Br1 0.000 0.000 0.976
Pt1 0.667 0.333 0.356
Os1 0.333 0.667 0.668
```

---

Entry 10:
Here is a crystal of Os2PtBr relaxed with PBEsol from Alexandria. Energies are from SCAN.

- Magnetization: 0.000 μB per atom
- DFT total energy: -228.48 eV for the cell shown
- ΔE_f (raw): 119.0 kJ/mol of atoms
- Space-group type: P4/mmm

Structure (CIF):
```
data_Os2PtBr
_chemical_formula_sum 'Os2 Pt1 Br1'
_cell_length_a 2.856
_cell_length_b 2.856
_cell_length_c 7.520
_cell_angle_alpha 90.00
_cell_angle_beta 90.00
_cell_angle_gamma 90.00
_symmetry_space_group_name_H-M 'P 1'
_symmetry_Int_Tables_number 1
_symmetry_space_group_name_Hall 'P 1'
loop_
_atom_site_label
_atom_site_fract_x
_atom_site_fract_y
_atom_site_fract_z
Os1 0.000 0.000 0.762
Os2 0.000 0.000 0.238
Br1 0.500 0.500 0.500
Pt1 0.500 0.500 0.000
```

---

Table of ρ (g/cm³), in record order: 7.2; 8.8; 7.9; 8.8; 12.7; 10.9; 11.2; 6.7; 15.8; 17.7
Table of calculated volume (A^3/atom), in record order: 19.15; 18.90; 21.16; 15.73; 22.92; 21.21; 20.64; 30.27; 16.31; 15.34